This record from Alexandria via LeMat-Bulk describes a geometry-optimized RbGe3Se structure. The functional is PBE.

Summary:
M_tot in μB/f.u.: 0.0
Formation energy (no corrections) in eV/atom: 0.420
Distance to the lowest polymorph of the same formula in meV per atom: 0

Structure (POSCAR):
```
RbGe3Se
1.0
5.359 0.000 0.000
0.000 5.359 0.000
0.000 0.000 5.359
Rb Ge Se
1 3 1
Direct
0.000 0.000 0.000 Rb
0.000 0.500 0.500 Ge
0.500 0.000 0.500 Ge
0.500 0.500 0.000 Ge
0.500 0.500 0.500 Se
```